## w
Density functional theory data (PBE) for an optimized crystal structure of Ac3Zr4.

Structure (extended XYZ):
```
14
Lattice="-7.879 -4.961 1.893 0.615 -8.391 4.414 -0.428 2.556 4.919" Properties=species:S:1:pos:R:3 pbc="T T T"
Ac -0.745 -2.985 1.487
Ac -2.112 -6.119 2.996
Ac -6.306 -10.460 4.888
Ac -3.361 -1.532 3.646
Ac -5.065 -7.409 6.553
Ac -1.379 -6.789 6.551
Zr -7.610 -5.086 1.982
Zr -4.680 -4.183 1.767
Zr -5.368 -6.865 3.101
Zr -2.849 -9.318 4.595
Zr -7.306 -5.295 5.259
Zr -4.376 -4.392 5.044
Zr -0.642 -3.590 4.952
Zr -6.002 -11.004 8.339
```

## x
Density functional theory data (PBE) for an optimized crystal structure of Ac3Zr4.

Structure (extended XYZ):
```
14
Lattice="4.741 -7.912 -3.410 7.173 1.047 -6.646 3.477 0.437 3.822" Properties=species:S:1:pos:R:3 pbc="T T T"
Ac 4.897 -2.096 -4.216
Ac 7.052 -5.636 -5.773
Ac 8.135 -1.617 -7.217
Ac 6.999 -4.404 -2.347
Ac 8.083 -0.383 -3.792
Ac 10.239 -3.926 -5.349
Zr 3.245 -4.641 -2.422
Zr 4.782 -7.195 -3.529
Zr 2.720 -0.823 -2.380
Zr 9.640 -6.494 -8.029
Zr 3.179 0.130 0.611
Zr 4.715 -2.429 -0.494
Zr 5.497 0.471 -1.537
Zr 12.415 -5.198 -7.184
```

Most stable one: x, least stable one: w.

## w
Density functional theory data (PBE) for an optimized crystal structure of Ag.

Structure (extended XYZ):
```
4
Lattice="2.918 0.000 0.000 -1.459 2.527 0.000 0.000 0.000 9.474" Properties=species:S:1:pos:R:3 pbc="T T T"
Ag 0.000 0.000 0.000
Ag 0.000 1.684 2.369
Ag 0.000 0.000 4.737
Ag 1.459 0.842 7.106
```

## x
Density functional theory data (PBE) for an optimized crystal structure of Ag.

Structure (extended XYZ):
```
4
Lattice="-2.082 -4.396 0.000 -2.082 4.396 0.000 0.000 0.000 -4.163" Properties=species:S:1:pos:R:3 pbc="T T T"
Ag -2.082 3.109 -4.152
Ag -2.082 -3.109 -0.011
Ag -2.082 1.287 -2.070
Ag -2.082 -1.287 -2.093
```

Most stable one: w, least stable one: x.

## w
Density functional theory data (PBE) for an optimized crystal structure of AlAgAs.

Structure (extended XYZ):
```
3
Lattice="0.000 3.156 3.156 3.156 0.000 3.156 3.156 3.156 0.000" Properties=species:S:1:pos:R:3 pbc="T T T"
Ag 1.578 1.578 1.578
Al 4.734 4.734 4.734
As 0.000 0.000 0.000
```

## x
Density functional theory data (PBE) for an optimized crystal structure of AlAgAs.

Structure (extended XYZ):
```
12
Lattice="7.351 0.000 0.000 0.000 4.018 0.000 0.000 0.000 7.740" Properties=species:S:1:pos:R:3 pbc="T T T"
Ag 3.599 1.005 1.016
Ag 7.275 1.005 2.854
Ag 0.077 3.014 4.886
Ag 3.752 3.014 6.724
Al 1.492 3.014 0.588
Al 5.168 3.014 3.282
Al 2.184 1.005 4.457
Al 5.859 1.005 7.152
As 6.270 3.014 1.002
As 2.594 3.014 2.868
As 4.757 1.005 4.872
As 1.081 1.005 6.738
```

Most stable one: x, least stable one: w.

## w
Density functional theory data (PBE) for an optimized crystal structure of Al2AgAu2.

Structure (extended XYZ):
```
5
Lattice="-2.083 2.083 5.601 2.083 -2.083 5.601 2.083 2.083 -5.601" Properties=species:S:1:pos:R:3 pbc="T T T"
Ag 0.000 0.000 0.000
Al 0.000 0.000 4.356
Al 0.000 0.000 6.846
Au 0.000 2.083 2.801
Au 2.083 0.000 2.801
```

## x
Density functional theory data (PBE) for an optimized crystal structure of Al2AgAu2.

Structure (extended XYZ):
```
5
Lattice="2.015 -6.253 0.245 3.436 -3.090 4.676 -5.123 3.950 -1.177" Properties=species:S:1:pos:R:3 pbc="T T T"
Ag 0.000 0.000 0.000
Al -0.191 -3.488 0.765
Al 0.520 -1.906 2.980
Au 2.102 -3.604 1.898
Au 3.349 -5.740 3.023
```

Most stable one: x, least stable one: w.